No. 1
Compound: PmPr5NdEr2
Source: Alexandria
Functional: GGA-PBE
Structure: optimized geometry

abc: 10.7253 10.7253 10.7195
angles: 90.00 90.00 148.91
Atoms (fractional coordinates):
1 Pm 0.1993 0.8007 0.5000
2 Pm 0.8007 0.1993 0.0000
3 Pr 0.0161 0.9839 0.5117
4 Pr 0.2803 0.7197 0.8007
5 Pr 0.2954 0.7046 0.1938
6 Pr 0.3899 0.6101 0.5162
7 Pr 0.4773 0.5227 0.2313
8 Pr 0.5227 0.4773 0.7313
9 Pr 0.6101 0.3899 0.0162
10 Pr 0.7046 0.2954 0.6938
11 Pr 0.7197 0.2803 0.3007
12 Pr 0.9839 0.0161 0.0117
13 Nd 0.4122 0.5878 0.9399
14 Nd 0.5878 0.4122 0.4399
15 Er 0.1123 0.8877 0.2248
16 Er 0.1174 0.8826 0.8108
17 Er 0.8826 0.1174 0.3108
18 Er 0.8877 0.1123 0.7248

## Properties
SG: Cmc2_1, No. 36
E_tot: -4.58 eV/atom
total moment: 0.0 μB/f.u.

***

No. 2
Compound: Y5Er4Sc4
Source: Alexandria
Functional: GGA-PBE
Structure: optimized geometry

abc: 9.1473 9.1473 9.1473
angles: 94.10 94.10 148.99
Atoms (fractional coordinates):
1 Y 0.0000 0.0000 0.0000
2 Y 0.3063 0.5415 0.8478
3 Y 0.4585 0.3063 0.7649
4 Y 0.5415 0.6937 0.2351
5 Y 0.6937 0.4585 0.1522
6 Er 0.0776 0.3825 0.4601
7 Er 0.3825 0.9224 0.3048
8 Er 0.6175 0.0776 0.6952
9 Er 0.9224 0.6175 0.5399
10 Sc 0.1561 0.7670 0.9231
11 Sc 0.2330 0.1561 0.3890
12 Sc 0.7670 0.8439 0.6110
13 Sc 0.8439 0.2330 0.0769

## Properties
SG: I4/m, No. 87
E_tot: -5.79 eV/atom
total moment: 0.0 μB/f.u.

***

Number 1: formation energy from the elements 0.1450 eV per atom, density 6928 kg/m3, DOS(E_F) 13.932 states/eV/f.u.. Number 2: formation energy from the elements 0.0509 eV per atom, density 5652 kg/m3, DOS(E_F) 21.162 states/eV/f.u..